--- a ---
! CdPdF2 PBE optimized geometry; values from VASP
&SYSTEM
  ibrav = 0, nat = 12, ntyp = 3
/
ATOMIC_SPECIES
Cd 112.41 Cd.upf
Pd 106.42 Pd.upf
F 19.00 F.upf
ATOMIC_POSITIONS crystal
Cd 0.000 0.000 0.000
Cd 0.333 0.667 0.667
Cd 0.667 0.333 0.333
Pd 0.000 0.000 0.500
Pd 0.333 0.667 0.167
Pd 0.667 0.333 0.833
F 0.000 0.000 0.397
F 0.000 0.000 0.603
F 0.333 0.667 0.064
F 0.333 0.667 0.269
F 0.667 0.333 0.731
F 0.667 0.333 0.936
CELL_PARAMETERS angstrom
3.283 0.000 0.000
-1.641 2.843 0.000
0.000 0.000 21.629
! - Space group: R-3m (166)
! - Theoretical density: 6.3 g cm⁻³
! - Crystal system: trigonal

--- b ---
! CdPdF2 PBE optimized geometry; values from VASP
&SYSTEM
  ibrav = 0, nat = 16, ntyp = 3
/
ATOMIC_SPECIES
Cd 112.41 Cd.upf
Pd 106.42 Pd.upf
F 19.00 F.upf
ATOMIC_POSITIONS crystal
Cd 0.000 0.000 0.000
Cd 0.000 0.500 0.500
Cd 0.500 0.000 0.500
Cd 0.500 0.500 0.000
Pd 0.000 0.000 0.500
Pd 0.000 0.500 0.000
Pd 0.500 0.000 0.000
Pd 0.500 0.500 0.500
F 0.250 0.250 0.250
F 0.250 0.250 0.750
F 0.250 0.750 0.250
F 0.250 0.750 0.750
F 0.750 0.250 0.250
F 0.750 0.250 0.750
F 0.750 0.750 0.250
F 0.750 0.750 0.750
CELL_PARAMETERS angstrom
6.045 0.000 0.000
0.000 6.045 0.000
0.000 0.000 6.045
! - Space group: Fm-3m (225)
! - Theoretical density: 7.7 g cm⁻³
! - Crystal system: cubic

Most stable structure among those shown: a. Next: +128 meV/atom.